1.
A plane-wave DFT calculation with GGA-PBE was carried out for a geometry-optimized Cr2S3 structure.

```
Cr2S3
1.0
6.611 0.005 0.004
3.864 5.365 0.004
3.864 1.981 4.986
Cr S
4 6
direct
0.678 0.678 0.678
0.500 0.500 0.500
0.000 0.000 0.000
0.322 0.322 0.322
0.599 0.900 0.268
0.732 0.401 0.100
0.268 0.599 0.900
0.401 0.100 0.732
0.100 0.732 0.401
0.900 0.268 0.599
```

Calculated values
Volume in Å³/atom: 17.66
Raw total energy in Ha/atom: -0.2578
Formation energy (no corrections) in meV/atom: -690


2.
A plane-wave DFT calculation with GGA-PBE was carried out for a geometry-optimized Nd4ScAg structure.

```
Nd4ScAg
1.0
-0.780 -2.740 2.274
3.306 0.307 1.505
-5.014 9.036 9.170
Nd Sc Ag
4 1 1
direct
0.500 0.500 0.835
0.500 0.500 0.165
0.000 0.000 0.644
0.000 0.000 0.356
0.000 0.000 0.000
0.500 0.500 0.500
```

Calculated values
Volume in Å³/atom: 30.59
Raw total energy in Ha/atom: -0.1748


3.
A plane-wave DFT calculation with GGA-PBE was carried out for a geometry-optimized Er4ThCu5 structure.

```
Er4ThCu5
1.0
3.434 0.000 0.000
0.000 3.434 0.000
0.000 0.000 17.596
Er Th Cu
4 1 5
direct
0.000 0.000 0.206
0.000 0.000 0.402
0.000 0.000 0.598
0.000 0.000 0.794
0.000 0.000 0.000
0.500 0.500 0.112
0.500 0.500 0.303
0.500 0.500 0.500
0.500 0.500 0.697
0.500 0.500 0.888
```

Calculated values
Volume in Å³/atom: 20.75
Raw total energy in Ha/atom: -0.1782


4.
A plane-wave DFT calculation with GGA-PBE was carried out for a geometry-optimized LiHoCd2Au4 structure.

```
LiHoCd2Au4
1.0
4.797 0.000 0.000
2.399 4.154 0.000
2.399 1.385 7.886
Li Ho Cd Au
1 1 2 4
direct
0.500 0.500 0.500
0.000 0.000 0.000
0.752 0.752 0.745
0.248 0.248 0.255
0.382 0.382 0.854
0.873 0.873 0.382
0.127 0.127 0.618
0.618 0.618 0.146
```

Calculated values
Volume in Å³/atom: 19.64
Raw total energy in Ha/atom: -0.1172


5.
A plane-wave DFT calculation with GGA-PBE was carried out for a geometry-optimized GaP3N structure.

```
GaP3N
1.0
4.735 0.000 0.000
0.000 4.735 0.000
0.000 0.000 4.735
P Ga N
3 1 1
direct
0.000 0.500 0.000
0.000 0.000 0.500
0.500 0.000 0.000
0.000 0.000 0.000
0.500 0.500 0.500
```

Calculated values
Volume in Å³/atom: 21.24
Raw total energy in Ha/atom: -0.1286
Formation energy (no corrections) in meV/atom: 2018
Energy above the most stable polymorph in this dataset in meV per atom: 1140


6.
A plane-wave DFT calculation with GGA-PBE was carried out for a geometry-optimized TaSbTe2 structure.

```
TaSbTe2
1.0
-5.717 -9.008 -7.273
-4.570 -10.947 -5.100
-7.336 -9.554 -4.651
Sb Te Ta
1 2 1
direct
0.500 0.500 0.500
0.926 0.926 0.926
0.074 0.074 0.074
0.000 0.000 0.000
```

Calculated values
Volume in Å³/atom: 27.11
Raw total energy in Ha/atom: -0.1816
Formation energy (no corrections) in meV/atom: 623


7.
A plane-wave DFT calculation with GGA-PBE was carried out for a geometry-optimized Rb3TmBi2 structure.

```
Rb3TmBi2
1.0
-2.220 -4.980 -0.686
8.461 0.134 -6.342
3.996 -3.075 9.392
Rb Tm Bi
6 2 4
direct
0.938 0.876 0.827
0.062 0.124 0.173
0.314 0.628 0.940
0.686 0.372 0.060
0.199 0.398 0.564
0.801 0.602 0.436
0.561 0.121 0.671
0.439 0.879 0.329
0.116 0.231 0.827
0.884 0.769 0.173
0.405 0.810 0.596
0.595 0.190 0.404
```

Calculated values
Volume in Å³/atom: 48.39
Raw total energy in Ha/atom: -0.1072


8.
A plane-wave DFT calculation with GGA-PBE was carried out for a geometry-optimized PrTm2Zr structure.

```
PrTm2Zr
1.0
-1.068 -0.875 -5.317
4.108 -1.066 -3.488
0.564 -5.035 -2.123
Pr Tm Zr
1 2 1
direct
0.000 0.000 0.000
0.250 0.250 0.250
0.750 0.750 0.750
0.500 0.500 0.500
```

Calculated values
Volume in Å³/atom: 29.31
Raw total energy in Ha/atom: -0.1970
Energy above the most stable polymorph in this dataset in meV per atom: 130


9.
A plane-wave DFT calculation with GGA-PBE was carried out for a geometry-optimized LiPuCl3 structure.

```
LiPuCl3
1.0
3.935 0.034 0.026
-0.018 8.089 0.518
-0.017 2.538 7.732
Li Pu Cl
2 2 6
direct
0.746 0.642 0.702
0.738 0.263 0.080
0.994 0.194 0.632
0.490 0.710 0.150
0.492 0.350 0.788
0.993 0.554 0.994
0.498 0.285 0.345
0.498 0.906 0.724
0.986 0.999 0.058
0.986 0.620 0.438
```

Calculated values
Volume in Å³/atom: 24.10
Raw total energy in Ha/atom: -0.2239
Formation energy (no corrections) in meV/atom: -1735


10.
A plane-wave DFT calculation with GGA-PBE was carried out for a geometry-optimized TiAl structure.

```
TiAl
1.0
6.010 0.000 0.000
0.000 6.010 0.000
0.000 0.000 6.010
Ti Al
4 4
direct
0.000 0.000 0.000
0.000 0.500 0.500
0.500 0.000 0.500
0.500 0.500 0.000
0.250 0.250 0.250
0.250 0.750 0.750
0.750 0.250 0.750
0.750 0.750 0.250
```

Calculated values
Volume in Å³/atom: 27.14
Raw total energy in Ha/atom: -0.1607


11.
A plane-wave DFT calculation with GGA-PBE was carried out for a geometry-optimized Rb2Mg3UCl12 structure.

```
Rb2Mg3UCl12
1.0
-6.030 -7.652 0.781
1.468 -7.559 6.019
-5.474 -1.899 7.871
Rb Mg U Cl
2 3 1 12
direct
0.582 0.582 0.582
0.418 0.418 0.418
0.500 0.000 0.000
0.000 0.500 0.000
0.000 0.000 0.500
0.000 0.000 0.000
0.319 0.319 0.918
0.922 0.922 0.334
0.334 0.922 0.922
0.918 0.319 0.319
0.922 0.334 0.922
0.319 0.918 0.319
0.681 0.681 0.082
0.078 0.078 0.666
0.666 0.078 0.078
0.082 0.681 0.681
0.078 0.666 0.078
0.681 0.082 0.681
```

Calculated values
Volume in Å³/atom: 33.10
Raw total energy in Ha/atom: -0.1480
Formation energy (no corrections) in meV/atom: -1795


12.
A plane-wave DFT calculation with GGA-PBE was carried out for a geometry-optimized V3MoH4 structure.

```
V3MoH4
1.0
-1.130 3.158 -3.109
-2.330 -3.126 -2.329
-5.268 1.423 3.360
V Mo H
6 2 8
direct
0.500 0.742 0.000
0.000 0.756 0.251
0.500 0.244 0.249
0.000 0.258 0.500
0.500 0.244 0.751
0.000 0.756 0.749
0.999 0.251 0.000
0.499 0.749 0.500
0.132 0.865 0.000
0.616 0.114 0.000
0.134 0.386 0.256
0.634 0.614 0.244
0.116 0.886 0.500
0.632 0.135 0.500
0.634 0.614 0.756
0.134 0.386 0.744
```

Calculated values
Volume in Å³/atom: 8.32
Raw total energy in Ha/atom: -0.2410


Number 7 is which compound? Rb3TmBi2


Which value of volume does entry 10 give? 27.14 Å³/atom